Below is crystalline FeTc3I at its relaxed geometry, with properties calculated at the PBE level.

Cell lengths 4.501, 4.501, 4.501 Å; angles 90.00, 90.00, 90.00 degrees
Space group Pm-3m (No. 221)
Unique sites:
Fe 0.000 0.000 0.000 x1
Tc 0.000 0.000 0.500 x3
I 0.500 0.500 0.500 x1

Results
Polymorph energy (0 for the lowest one) = 0.0000 eV per atom
Raw formation energy = 1491 meV per atom
Uncorrected energy = -6.732 eV per atom

---

Below is crystalline CaY3Nb at its relaxed geometry, with properties calculated at the PBE level.

Cell lengths 5.351, 5.351, 5.351 Å; angles 90.00, 90.00, 90.00 degrees
Space group Pm-3m (No. 221)
Unique sites:
Ca 0.000 0.000 0.000 x1
Y 0.000 0.000 0.500 x3
Nb 0.500 0.500 0.500 x1

Results
Polymorph energy (0 for the lowest one) = 1.1360 eV per atom
Uncorrected energy = -4.759 eV per atom
Energy of formation = 1.53 eV/atom

---

Below is crystalline Rb4Pm3TiO8 at its relaxed geometry, with properties calculated at the PBE level.

Cell lengths 7.0589, 7.0589, 19.6305 Å; angles 90.00, 90.00, 120.00 degrees
Space group R-3m (No. 166, hexagonal axes)
Unique sites:
Rb 0.0000 0.0000 0.0000 x3
Rb 0.0000 0.5000 0.0000 x9
Pm 0.0000 0.5000 0.5000 x9
Ti 0.0000 0.0000 0.5000 x3
O 0.0000 0.0000 0.2279 x6
O 0.0250 0.5125 0.2239 x18

Results
Raw formation energy = -2429 meV per atom
Uncorrected energy = -6.534 eV per atom

---

Below is crystalline Ac2MgCu2 at its relaxed geometry, with properties calculated at the PBE level.

Cell lengths 4.412, 15.231, 4.113 Å; angles 90.00, 90.00, 90.00 degrees
Space group Cmmm (No. 65)
Unique sites:
Ac 0.000 0.135 0.000 x4
Mg 0.000 0.500 0.500 x2
Cu 0.000 0.296 0.500 x4

Results
Uncorrected energy = -3.760 eV per atom
Energy of formation = -0.16 eV/atom

---

Below is crystalline AgSb2Pd at its relaxed geometry, with properties calculated at the PBE level.

Cell lengths 3.8091, 3.8091, 25.4745 Å; angles 90.00, 90.00, 120.00 degrees
Space group R-3m (No. 166, hexagonal axes)
Unique sites:
Ag 0.0000 0.0000 0.0000 x3
Sb 0.0000 0.0000 0.1061 x6
Pd 0.0000 0.0000 0.5000 x3

Results
Polymorph energy (0 for the lowest one) = 0.0843 eV per atom
Raw formation energy = -32 meV per atom
Uncorrected energy = -4.105 eV per atom

---

Below is crystalline Ac4Tb2Nd5 at its relaxed geometry, with properties calculated at the PBE level.

Cell lengths 23.458, 3.747, 10.279 Å; angles 90.00, 106.82, 90.00 degrees
Space group C2/m (No. 12)
Unique sites:
Ac 0.047 0.000 0.193 x4
Ac 0.108 0.500 0.897 x4
Tb 0.238 0.000 0.866 x4
Nd 0.000 0.500 0.500 x2
Nd 0.136 0.000 0.577 x4
Nd 0.213 0.000 0.350 x4

Results
Uncorrected energy = -4.326 eV per atom
Energy of formation = 0.18 eV/atom

---

Below is crystalline Sc3GaSb at its relaxed geometry, with properties calculated at the PBE level.

Cell lengths 4.607, 14.229, 14.468 Å; angles 90.00, 90.00, 90.00 degrees
Space group Imma (No. 74)
Unique sites:
Sc 0.000 0.121 0.171 x8
Sc 0.000 0.137 0.488 x8
Sc 0.000 0.141 0.835 x8
Ga 0.000 0.250 0.000 x4
Ga 0.000 0.250 0.323 x4
Sb 0.000 0.016 0.648 x8

Results
Polymorph energy (0 for the lowest one) = 0.0000 eV per atom
Raw formation energy = -485 meV per atom
Uncorrected energy = -5.713 eV per atom

---

Below is crystalline RbCrH2 at its relaxed geometry, with properties calculated at the PBE level.

Cell lengths 3.802, 3.802, 10.838 Å; angles 98.26, 97.93, 97.54 degrees
Space group P-1 (No. 2)
Unique sites:
Rb 0.133 0.138 0.294 x2
Cr 0.335 0.665 0.000 x2
H 0.049 0.551 0.109 x2
H 0.451 0.949 0.891 x2

Results
Polymorph energy (0 for the lowest one) = 0.0000 eV per atom
Uncorrected energy = -4.224 eV per atom

---

Below is crystalline Mo4Pb5 at its relaxed geometry, with properties calculated at the PBE level.

Cell lengths 8.7123, 8.7123, 5.9109 Å; angles 90.00, 90.00, 120.00 degrees
Space group P6_3/mcm (No. 193)
Unique sites:
Mo 0.0000 0.0000 0.0000 x2
Mo 0.0000 0.3770 0.2500 x6
Pb 0.0000 0.2861 0.7500 x6
Pb 0.3333 0.6667 0.0000 x4

Results
Uncorrected energy = -5.926 eV per atom
Energy of formation = 0.95 eV/atom

---

Below is crystalline Ca2TlTc at its relaxed geometry, with properties calculated at the PBE level.

Cell lengths 7.190, 7.190, 7.190 Å; angles 90.00, 90.00, 90.00 degrees
Space group F-43m (No. 216)
Unique sites:
Ca 0.000 0.000 0.000 x4
Ca 0.250 0.250 0.250 x4
Tl 0.250 0.250 0.750 x4
Tc 0.000 0.000 0.500 x4

Results
Polymorph energy (0 for the lowest one) = 0.0992 eV per atom
Uncorrected energy = -3.789 eV per atom
Energy of formation = 0.40 eV/atom

---

Below is crystalline Tb12Y7Zr at its relaxed geometry, with properties calculated at the PBE level.

Cell lengths 11.386, 11.386, 11.386 Å; angles 90.00, 90.00, 90.00 degrees
Space group Im-3m (No. 229)
Unique sites:
Tb 0.000 0.217 0.217 x24
Y 0.000 0.000 0.500 x6
Y 0.250 0.250 0.250 x8
Zr 0.000 0.000 0.000 x2

Results
Polymorph energy (0 for the lowest one) = 0.5053 eV per atom
Uncorrected energy = -4.697 eV per atom
Energy of formation = 0.77 eV/atom

---

Below is crystalline Ce2PaP3Ir4 at its relaxed geometry, with properties calculated at the PBE level.

Cell lengths 3.995, 3.995, 11.512 Å; angles 90.00, 90.00, 90.00 degrees
Space group P-4m2 (No. 115)
Unique sites:
Ce 0.000 0.500 0.230 x2
Pa 0.000 0.000 0.500 x1
P 0.000 0.500 0.882 x2
P 0.500 0.500 0.500 x1
Ir 0.000 0.000 0.000 x1
Ir 0.000 0.500 0.679 x2
Ir 0.500 0.500 0.000 x1

Results
Uncorrected energy = -8.227 eV per atom
Energy of formation = -0.92 eV/atom